Compound: Hg3MoF
Source: Alexandria via LeMat-Bulk
Functional: PBE+U
Structure: optimized geometry

energy relative to the lowest polymorph listed for this composition	0	meV per atom
space group	Pm-3m (221)

abc: 5.6920 5.6920 5.6920
angles: 90.00 90.00 90.00
With the nearest neighbours (Å) after each atom.
Element x y z (fractional)
Hg: 0.0000 0.0000 0.5000  2 Mo 2.85
Hg: 0.0000 0.5000 0.0000  2 Mo 2.85
Hg: 0.5000 0.0000 0.0000  2 Mo 2.85
Mo: 0.0000 0.0000 0.0000  6 Hg 2.85
F: 0.5000 0.5000 0.5000  12 Hg 4.02

---

Compound: Hg2MoF8
Source: Alexandria via LeMat-Bulk
Functional: PBE+U
Structure: optimized geometry

space group	C2/m (12)

abc: 6.2312 6.2312 4.8730
angles: 92.66 92.66 76.45
With the nearest neighbours (Å) after each atom.
Element x y z (fractional)
Hg: 0.1375 0.1375 0.2655  2 F 2.16-2.18
Hg: 0.8625 0.8625 0.7345  2 F 2.16-2.18
Mo: 0.5000 0.5000 0.0000  6 F 1.97-2.07
F: 0.0851 0.0851 0.7542  1 Hg 2.18
F: 0.2056 0.5687 0.8125  1 Mo 1.97
F: 0.3585 0.3585 0.2997  1 Mo 2.07, 1 Hg 2.16
F: 0.4313 0.7944 0.1875  1 Mo 1.97
F: 0.5687 0.2056 0.8125  1 Mo 1.97
F: 0.6415 0.6415 0.7003  1 Mo 2.07, 1 Hg 2.16
F: 0.7944 0.4313 0.1875  1 Mo 1.97
F: 0.9149 0.9149 0.2458  1 Hg 2.18

---

Compound: HgMoF2
Source: Alexandria via LeMat-Bulk
Functional: PBE+U
Structure: optimized geometry

energy relative to the lowest polymorph listed for this composition	0	meV per atom
space group	I-42d (122)

abc: 7.7474 7.7474 7.7474
angles: 137.31 137.31 61.97
With the nearest neighbours (Å) after each atom.
Element x y z (fractional)
Hg: 0.0000 0.0000 0.0000  8 F 3.55-3.58
Hg: 0.7500 0.2500 0.5000  8 F 3.55-3.58
Mo: 0.2500 0.7500 0.5000  4 F 2.18
Mo: 0.5000 0.5000 0.0000  4 F 2.18
F: 0.3716 0.6250 0.2466  2 Mo 2.18
F: 0.3750 0.6216 0.7466  2 Mo 2.18
F: 0.3784 0.1250 0.7534  2 Mo 2.18
F: 0.8750 0.6284 0.2534  2 Mo 2.18

---

Compound: HgMoF2
Source: Alexandria via LeMat-Bulk
Functional: PBE+U
Structure: optimized geometry

energy relative to the lowest polymorph listed for this composition	90	meV per atom
space group	R-3m (166)

abc: 9.5430 9.5430 9.5430
angles: 19.83 19.83 19.83
With the nearest neighbours (Å) after each atom.
Element x y z (fractional)
Hg: 0.0000 0.0000 0.0000  6 Hg 3.29, 2 F 3.48
Mo: 0.5000 0.5000 0.5000  6 F 2.24
F: 0.1242 0.1242 0.1242  3 Mo 2.24
F: 0.8758 0.8758 0.8758  3 Mo 2.24

---

Compound: HgMoN2F
Source: Alexandria via LeMat-Bulk
Functional: PBE+U
Structure: optimized geometry

energy relative to the lowest polymorph listed for this composition	0	meV per atom
space group	P4/mmm (123)

abc: 4.0200 4.0200 4.2127
angles: 90.00 90.00 90.00
With the nearest neighbours (Å) after each atom.
Element x y z (fractional)
Hg: 0.0000 0.0000 0.0000  4 F 2.84, 8 N 2.91
Mo: 0.5000 0.5000 0.5000  4 N 2.01, 2 F 2.11
N: 0.0000 0.5000 0.5000  2 Mo 2.01
N: 0.5000 0.0000 0.5000  2 Mo 2.01
F: 0.5000 0.5000 0.0000  2 Mo 2.11

---

Compound: HgMoNF2
Source: Alexandria via LeMat-Bulk
Functional: PBE+U
Structure: optimized geometry

energy relative to the lowest polymorph listed for this composition	0	meV per atom
space group	P4/mmm (123)

abc: 4.3151 4.3151 4.0677
angles: 90.00 90.00 90.00
With the nearest neighbours (Å) after each atom.
Element x y z (fractional)
Hg: 0.0000 0.0000 0.0000  8 F 2.97, 4 N 3.05
Mo: 0.5000 0.5000 0.5000  2 N 2.03, 4 F 2.16
N: 0.5000 0.5000 0.0000  2 Mo 2.03
F: 0.0000 0.5000 0.5000  2 Mo 2.16
F: 0.5000 0.0000 0.5000  2 Mo 2.16

---

Compound: HgMoNF2
Source: Alexandria via LeMat-Bulk
Functional: PBE+U
Structure: optimized geometry

energy relative to the lowest polymorph listed for this composition	1121	meV per atom
space group	P4/mmm (123)

abc: 4.5717 4.5717 4.1799
angles: 90.00 90.00 90.00
With the nearest neighbours (Å) after each atom.
Element x y z (fractional)
Hg: 0.0000 0.0000 0.0000  2 N 2.09, 4 F 2.29
Mo: 0.5000 0.5000 0.5000  8 F 3.10, 4 N 3.23
N: 0.0000 0.0000 0.5000  2 Hg 2.09
F: 0.0000 0.5000 0.0000  2 Hg 2.29
F: 0.5000 0.0000 0.0000  2 Hg 2.29

---

Compound: HgMoN2F
Source: Alexandria via LeMat-Bulk
Functional: PBE+U
Structure: optimized geometry

energy relative to the lowest polymorph listed for this composition	1178	meV per atom
space group	P4/mmm (123)

abc: 4.2228 4.2228 4.5072
angles: 90.00 90.00 90.00
With the nearest neighbours (Å) after each atom.
Element x y z (fractional)
Hg: 0.0000 0.0000 0.0000  4 N 2.11, 2 F 2.25
Mo: 0.5000 0.5000 0.5000  4 F 2.99, 8 N 3.09
N: 0.0000 0.5000 0.0000  2 Hg 2.11
N: 0.5000 0.0000 0.0000  2 Hg 2.11
F: 0.0000 0.0000 0.5000  2 Hg 2.25

---

Compound: Na2HgMoF6
Source: Alexandria via LeMat-Bulk
Functional: PBE+U
Structure: optimized geometry

space group	Fm-3m (225)

abc: 6.4616 6.4616 6.4616
angles: 60.00 60.00 60.00
With the nearest neighbours (Å) after each atom.
Element x y z (fractional)
Na: 0.2500 0.2500 0.2500  12 F 3.24
Na: 0.7500 0.7500 0.7500  12 F 3.24
Hg: 0.0000 0.0000 0.0000  6 F 2.48
Mo: 0.5000 0.5000 0.5000  6 F 2.09
F: 0.2712 0.2712 0.7288  1 Mo 2.09
F: 0.2712 0.7288 0.2712  1 Mo 2.09
F: 0.2712 0.7288 0.7288  1 Mo 2.09
F: 0.7288 0.2712 0.2712  1 Mo 2.09
F: 0.7288 0.2712 0.7288  1 Mo 2.09
F: 0.7288 0.7288 0.2712  1 Mo 2.09

---

Compound: NiHgMoF2
Source: Alexandria via LeMat-Bulk
Functional: PBE+U
Structure: optimized geometry

space group	P4/mmm (123)

abc: 4.0426 4.0426 5.9858
angles: 90.00 90.00 90.00
With the nearest neighbours (Å) after each atom.
Element x y z (fractional)
Ni: 0.0000 0.0000 0.0000  4 F 2.02
Hg: 0.5000 0.5000 0.5000  4 Mo 2.86
Mo: 0.0000 0.0000 0.5000  4 Hg 2.86, 2 Ni 2.99
F: 0.0000 0.5000 0.0000  2 Ni 2.02
F: 0.5000 0.0000 0.0000  2 Ni 2.02

---

Compound: HgMoOF2
Source: Alexandria via LeMat-Bulk
Functional: PBE+U
Structure: optimized geometry

energy relative to the lowest polymorph listed for this composition	0	meV per atom
space group	P4/mmm (123)

abc: 4.3457 4.3457 4.0495
angles: 90.00 90.00 90.00
With the nearest neighbours (Å) after each atom.
Element x y z (fractional)
Hg: 0.0000 0.0000 0.0000  8 F 2.97, 4 O 3.07
Mo: 0.5000 0.5000 0.5000  2 O 2.02, 4 F 2.17
O: 0.5000 0.5000 0.0000  2 Mo 2.02
F: 0.0000 0.5000 0.5000  2 Mo 2.17
F: 0.5000 0.0000 0.5000  2 Mo 2.17

---

Compound: HgMoO2F
Source: Alexandria via LeMat-Bulk
Functional: PBE+U
Structure: optimized geometry

space group	P4/mmm (123)

abc: 4.2657 4.2657 4.4107
angles: 90.00 90.00 90.00
With the nearest neighbours (Å) after each atom.
Element x y z (fractional)
Hg: 0.0000 0.0000 0.0000  4 O 2.13, 2 F 2.21
Mo: 0.5000 0.5000 0.5000  4 F 3.02, 8 O 3.07
O: 0.0000 0.5000 0.0000  2 Hg 2.13
O: 0.5000 0.0000 0.0000  2 Hg 2.13
F: 0.0000 0.0000 0.5000  2 Hg 2.21

---

Compound: HgMoO2F
Source: Alexandria via LeMat-Bulk
Functional: PBE+U
Structure: optimized geometry

space group	P4/mmm (123)

abc: 4.0565 4.0565 4.3017
angles: 90.00 90.00 90.00
With the nearest neighbours (Å) after each atom.
Element x y z (fractional)
Hg: 0.0000 0.0000 0.0000  4 F 2.87, 8 O 2.96
Mo: 0.5000 0.5000 0.5000  4 O 2.03, 2 F 2.15
O: 0.0000 0.5000 0.5000  2 Mo 2.03
O: 0.5000 0.0000 0.5000  2 Mo 2.03
F: 0.5000 0.5000 0.0000  2 Mo 2.15

---

Compound: HgMoOF2
Source: Alexandria via LeMat-Bulk
Functional: PBE+U
Structure: optimized geometry

energy relative to the lowest polymorph listed for this composition	1054	meV per atom
space group	P4/mmm (123)

abc: 4.5073 4.5073 4.3275
angles: 90.00 90.00 90.00
With the nearest neighbours (Å) after each atom.
Element x y z (fractional)
Hg: 0.0000 0.0000 0.0000  2 O 2.16, 4 F 2.25
Mo: 0.5000 0.5000 0.5000  8 F 3.12, 4 O 3.19
O: 0.0000 0.0000 0.5000  2 Hg 2.16
F: 0.0000 0.5000 0.0000  2 Hg 2.25
F: 0.5000 0.0000 0.0000  2 Hg 2.25

---

Compound: HgMoPbF6
Source: Alexandria via LeMat-Bulk
Functional: PBE+U
Structure: optimized geometry

space group	P-31c (163)

abc: 6.3570 6.3570 9.8593
angles: 90.00 90.00 120.00
With the nearest neighbours (Å) after each atom.
Element x y z (fractional)
Hg: 0.0000 0.0000 0.0000  6 F 2.74
Hg: 0.0000 0.0000 0.5000  6 F 2.74
Mo: 0.3333 0.6667 0.2500  6 F 2.10
Mo: 0.6667 0.3333 0.7500  6 F 2.10
Pb: 0.3333 0.6667 0.7500  6 F 2.50
Pb: 0.6667 0.3333 0.2500  6 F 2.50
F: 0.0458 0.3963 0.1371  1 Mo 2.10
F: 0.0458 0.6495 0.3629  1 Mo 2.10
F: 0.3505 0.3963 0.3629  1 Mo 2.10
F: 0.3505 0.9542 0.1371  1 Mo 2.10
F: 0.3963 0.0458 0.6371  1 Mo 2.10
F: 0.3963 0.3505 0.8629  1 Mo 2.10
F: 0.6037 0.6495 0.1371  1 Mo 2.10
F: 0.6037 0.9542 0.3629  1 Mo 2.10
F: 0.6495 0.0458 0.8629  1 Mo 2.10
F: 0.6495 0.6037 0.6371  1 Mo 2.10
F: 0.9542 0.3505 0.6371  1 Mo 2.10
F: 0.9542 0.6037 0.8629  1 Mo 2.10

---

Compound: RbHgMoF2
Source: Alexandria via LeMat-Bulk
Functional: PBE+U
Structure: optimized geometry

space group	P4/mmm (123)

abc: 5.1018 5.1018 6.0636
angles: 90.00 90.00 90.00
With the nearest neighbours (Å) after each atom.
Element x y z (fractional)
Rb: 0.0000 0.0000 0.0000  4 F 2.55
Hg: 0.0000 0.0000 0.5000  2 Rb 3.03
Mo: 0.5000 0.5000 0.5000  4 Hg 3.61, 8 F 3.96
F: 0.0000 0.5000 0.0000  2 Rb 2.55
F: 0.5000 0.0000 0.0000  2 Rb 2.55

---

Compound: RbHg2MoF6
Source: Alexandria via LeMat-Bulk
Functional: PBE+U
Structure: optimized geometry

space group	R-3m (166)

abc: 12.3472 12.3472 12.3472
angles: 29.74 29.74 29.74
With the nearest neighbours (Å) after each atom.
Element x y z (fractional)
Rb: 0.2288 0.2288 0.2288  3 F 2.84
Rb: 0.7712 0.7712 0.7712  3 F 2.84
Hg: 0.0787 0.0787 0.0787  1 Mo 2.79, 3 F 2.86
Hg: 0.3382 0.3382 0.3382  6 F 2.31-2.38
Hg: 0.6618 0.6618 0.6618  6 F 2.31-2.38
Hg: 0.9213 0.9213 0.9213  1 Mo 2.79, 3 F 2.86
Mo: 0.0000 0.0000 0.0000  2 Hg 2.79
Mo: 0.5000 0.5000 0.5000  6 F 1.97
F: 0.0239 0.5495 0.5495  2 Hg 2.31-2.38
F: 0.2313 0.6802 0.6802  1 Mo 1.97
F: 0.3198 0.3198 0.7687  1 Mo 1.97
F: 0.3198 0.7687 0.3198  1 Mo 1.97
F: 0.4505 0.4505 0.9761  2 Hg 2.31-2.38
F: 0.4505 0.9761 0.4505  2 Hg 2.31-2.38
F: 0.5495 0.0239 0.5495  2 Hg 2.31-2.38
F: 0.5495 0.5495 0.0239  2 Hg 2.31-2.38
F: 0.6802 0.2313 0.6802  1 Mo 1.97
F: 0.6802 0.6802 0.2313  1 Mo 1.97
F: 0.7687 0.3198 0.3198  1 Mo 1.97
F: 0.9761 0.4505 0.4505  2 Hg 2.31-2.38

---

Compound: ReHgMoF2
Source: Alexandria via LeMat-Bulk
Functional: PBE+U
Structure: optimized geometry

space group	P4/mmm (123)

abc: 4.1534 4.1534 5.4072
angles: 90.00 90.00 90.00
With the nearest neighbours (Å) after each atom.
Element x y z (fractional)
Re: 0.0000 0.0000 0.0000  4 F 2.08
Hg: 0.5000 0.5000 0.5000  4 Mo 2.94
Mo: 0.0000 0.0000 0.5000  2 Re 2.70, 4 Hg 2.94
F: 0.0000 0.5000 0.0000  2 Re 2.08
F: 0.5000 0.0000 0.0000  2 Re 2.08

---

Compound: SrHg2MoF
Source: Alexandria via LeMat-Bulk
Functional: PBE+U
Structure: optimized geometry

space group	P4/mmm (123)

abc: 5.5277 5.5277 6.6957
angles: 90.00 90.00 90.00
With the nearest neighbours (Å) after each atom.
Element x y z (fractional)
Sr: 0.0000 0.0000 0.0000  2 Mo 3.35
Hg: 0.0000 0.5000 0.5000  2 Mo 2.76
Hg: 0.5000 0.0000 0.5000  2 Mo 2.76
Mo: 0.0000 0.0000 0.5000  4 Hg 2.76
F: 0.5000 0.5000 0.0000  4 Sr 3.91, 8 Hg 4.34

---

Compound: TiHgMo2F
Source: Alexandria via LeMat-Bulk
Functional: PBE+U
Structure: optimized geometry

space group	P4/mmm (123)

abc: 4.3950 4.3950 5.0631
angles: 90.00 90.00 90.00
With the nearest neighbours (Å) after each atom.
Element x y z (fractional)
Ti: 0.0000 0.0000 0.0000  4 Hg 3.11, 8 Mo 3.35
Hg: 0.5000 0.5000 0.0000  2 F 2.53
Mo: 0.0000 0.5000 0.5000  2 F 2.20
Mo: 0.5000 0.0000 0.5000  2 F 2.20
F: 0.5000 0.5000 0.5000  4 Mo 2.20

---

Compound: Tl3Hg2MoF6
Source: Alexandria via LeMat-Bulk
Functional: PBE+U
Structure: optimized geometry

space group	C2/m (12)

abc: 8.2567 8.2567 5.6215
angles: 95.70 95.70 48.18
With the nearest neighbours (Å) after each atom.
Element x y z (fractional)
Tl: 0.0000 0.0000 0.0000  4 F 2.85
Tl: 0.0000 0.5000 0.5000  2 F 2.78
Tl: 0.5000 0.0000 0.5000  2 F 2.78
Hg: 0.2292 0.2292 0.9907  1 F 2.86
Hg: 0.7708 0.7708 0.0093  1 F 2.86
Mo: 0.5000 0.5000 0.5000  6 F 1.97-2.03
F: 0.2122 0.6512 0.6475  1 Mo 2.03
F: 0.3488 0.7878 0.3525  1 Mo 2.03
F: 0.4081 0.4081 0.2229  1 Mo 1.97
F: 0.5919 0.5919 0.7771  1 Mo 1.97
F: 0.6512 0.2122 0.6475  1 Mo 2.03
F: 0.7878 0.3488 0.3525  1 Mo 2.03

---

Compound: TlHg2MoF8
Source: Alexandria via LeMat-Bulk
Functional: PBE+U
Structure: optimized geometry

space group	P-1 (2)

abc: 5.0295 5.3526 7.8639
angles: 100.45 102.89 98.01
With the nearest neighbours (Å) after each atom.
Element x y z (fractional)
Tl: 0.0000 0.0000 0.0000  4 F 2.61-2.82, 2 Hg 2.89
Hg: 0.4261 0.4289 0.2150  4 F 2.31-2.57
Hg: 0.5739 0.5711 0.7850  4 F 2.31-2.57
Mo: 0.0000 0.0000 0.5000  6 F 1.97-2.06
F: 0.0295 0.7522 0.2886  1 Mo 1.98
F: 0.1787 0.8012 0.6663  1 Mo 1.97
F: 0.3625 0.2478 0.5162  1 Mo 2.06
F: 0.3941 0.7292 0.0374  2 Hg 2.31-2.42
F: 0.6059 0.2708 0.9626  2 Hg 2.31-2.42
F: 0.6375 0.7522 0.4838  1 Mo 2.06
F: 0.8213 0.1988 0.3337  1 Mo 1.97
F: 0.9705 0.2478 0.7114  1 Mo 1.98

---

Compound: HgMoW2F
Source: Alexandria via LeMat-Bulk
Functional: PBE+U
Structure: optimized geometry

space group	P4/mmm (123)

abc: 5.3802 5.3802 5.5287
angles: 90.00 90.00 90.00
With the nearest neighbours (Å) after each atom.
Element x y z (fractional)
Hg: 0.0000 0.0000 0.0000  2 Mo 2.76
Mo: 0.0000 0.0000 0.5000  4 W 2.69, 2 Hg 2.76
W: 0.0000 0.5000 0.5000  2 Mo 2.69
W: 0.5000 0.0000 0.5000  2 Mo 2.69
F: 0.5000 0.5000 0.0000  4 Hg 3.80, 8 W 3.86

---

Size of the total moment? In order: 4.82 2.00 8.00 2.02 0.27 1.65 3.41 2.23 3.78 6.36 2.05 3.78 1.94 4.15 3.95 5.00 6.00 2.27 4.91 3.64 1.99 1.82 3.18 μB/cell.
Calculated total energy? In order: -8.67 -43.57 -31.58 -15.43 -24.71 -23.60 -17.99 -18.82 -42.24 -16.14 -23.50 -18.90 -25.17 -18.23 -82.12 -14.67 -74.05 -23.95 -11.17 -21.62 -45.85 -46.87 -15.94 eV/cell.